No. 1
Crystalline Zn3Ni5 at its relaxed geometry. Source: Alexandria via LeMat-Bulk, functional PBE.

Output
Fermi-level density of states: 13.52 states/eV/cell
Theoretical density: 8.3 g cm⁻³
E: -32.79 eV/f.u.
Total magnetization: 0.00 μB/atom
Energy of formation from the pure elements: -0.01 eV per atom

CIF file:
```
data_Zn3Ni5
_chemical_formula_sum 'Zn6 Ni10'
_cell_length_a 6.9460
_cell_length_b 6.9460
_cell_length_c 4.6860
_cell_angle_alpha 90.00
_cell_angle_beta 90.00
_cell_angle_gamma 120.00
_space_group_name_H-M_alt 'P 63/m c m'
_space_group_IT_number 193
_space_group_name_Hall '-P 6c 2'
loop_
_atom_site_label
_atom_site_type_symbol
_atom_site_fract_x
_atom_site_fract_y
_atom_site_fract_z
Zn1 Zn 0.0000 0.4022 0.2500
Ni1 Ni 0.0000 0.2201 0.7500
Ni2 Ni 0.3333 0.6667 0.0000
```

=====

No. 2
Crystalline BaTi2P4O14 at its relaxed geometry. Source: Alexandria via LeMat-Bulk, functional PBE.

Output
ΔE_f (raw): -5106 kJ/mol of formula units
Fermi-level density of states: 26.49 states/eV/cell
Theoretical density: 3.4 g cm⁻³
E: -161.69 eV/f.u.
Total magnetization: 0.10 μB/atom

CIF file:
```
data_BaTi2P4O14
_chemical_formula_sum 'Ba4 Ti8 P16 O56'
_cell_length_a 10.783
_cell_length_b 10.761
_cell_length_c 10.032
_cell_angle_alpha 90.00
_cell_angle_beta 102.85
_cell_angle_gamma 90.00
_space_group_name_H-M_alt 'C 1 2/c 1'
_space_group_IT_number 15
loop_
_space_group_symop_operation_xyz
'x,y,z'
'-x,-y,-z'
'-x,y,-z+1/2'
'x,-y,z+1/2'
'x+1/2,y+1/2,z'
'-x+1/2,-y+1/2,-z'
'-x+1/2,y+1/2,-z+1/2'
'x+1/2,-y+1/2,z+1/2'
loop_
_atom_site_label
_atom_site_type_symbol
_atom_site_fract_x
_atom_site_fract_y
_atom_site_fract_z
Ba1 Ba 0.250 0.250 0.000
Ti1 Ti 0.000 0.000 0.000
Ti2 Ti 0.000 0.452 0.250
P1 P 0.061 0.314 0.556
P2 P 0.220 0.042 0.297
O1 O 0.027 0.179 0.573
O2 O 0.033 0.398 0.891
O3 O 0.069 0.344 0.409
O4 O 0.140 0.079 0.157
O5 O 0.142 0.009 0.401
O6 O 0.181 0.440 0.204
O7 O 0.201 0.330 0.654
```